Record 1
The following is a GGA-PBE calculation of crystalline RbZnHF2 at its relaxed geometry, from the Alexandria database.

```
5
Lattice="4.6431 0.0000 0.0000 0.0000 4.6431 0.0000 0.0000 0.0000 3.6489" Properties=species:S:1:pos:R:3 pbc="T T T"
Rb 0.0000 0.0000 0.0000
Zn 2.3216 2.3216 0.0000
H 0.0000 0.0000 1.8245
F 0.0000 2.3216 1.8245
F 2.3216 0.0000 1.8245
```

Values from the calculation:
Its volume is 79 Å³ per cell. For the total energy, the calculation gives -2.3497 eV/atom. Its space group is P4/mmm (123).

---

Record 2
The following is a GGA-PBE calculation of crystalline CuHPd3 at its relaxed geometry, from the Alexandria database.

```
10
Lattice="-2.6057 2.6057 4.9105 2.6057 -2.6057 4.9105 2.6057 2.6057 -4.9105" Properties=species:S:1:pos:R:3 pbc="T T T"
Cu 0.0000 0.0000 1.2589
Cu 0.0000 0.0000 8.5620
H 0.0000 0.0000 4.9105
H 0.0000 2.6057 2.4552
Pd 2.6057 0.0000 1.1527
Pd 2.6057 1.3127 -1.2689
Pd 2.6057 0.0000 3.7578
Pd 0.0000 1.2930 3.6415
Pd 1.3127 2.6057 1.2689
Pd 1.2930 0.0000 6.1794
```

Values from the calculation:
Its volume is 133 Å³ per cell. Its space group is I-4m2 (119). For the energy above the lowest structure with this stoichiometry, the calculation gives 101 kJ/mol of formula units.

---

Record 3
The following is a GGA-PBE calculation of crystalline HfZr2C at its relaxed geometry, from the Alexandria database.

```
8
Lattice="-4.1318 4.1318 2.2656 4.1318 -4.1318 2.2656 4.1318 4.1318 -2.2656" Properties=species:S:1:pos:R:3 pbc="T T T"
Hf 0.0000 0.0000 0.0000
Hf 0.0000 4.1318 1.1328
Zr 2.0659 -0.9924 1.6992
Zr 3.1394 2.0659 0.5664
Zr 2.0659 5.1242 -0.5664
Zr 0.9924 2.0659 2.8320
C 4.1318 0.0000 1.1328
C 0.0000 0.0000 2.2656
```

Values from the calculation:
Its volume is 155 Å³ per cell. Its space group is I-42d (122). The energy relative to the elements is 0.060 eV per atom.

---

Record 4
The following is a GGA-PBE calculation of crystalline CaAlAu at its relaxed geometry, from the Alexandria database.

```
3
Lattice="0.0000 3.3409 3.3409 3.3409 0.0000 3.3409 3.3409 3.3409 0.0000" Properties=species:S:1:pos:R:3 pbc="T T T"
Ca 0.0000 0.0000 0.0000
Al 3.3409 3.3409 3.3409
Au 5.0113 5.0113 5.0113
```

Values from the calculation:
Its volume is 75 Å³ per cell. Its space group is F-43m (216). The energy relative to the elements is -0.431 eV per atom.

---

Record 5
The following is a GGA-PBE calculation of crystalline CaTaTc4 at its relaxed geometry, from the Alexandria database.

```
6
Lattice="0.0000 3.7222 3.7222 3.7222 0.0000 3.7222 3.7222 3.7222 0.0000" Properties=species:S:1:pos:R:3 pbc="T T T"
Ca 0.0000 0.0000 0.0000
Ta 5.5833 5.5833 5.5833
Tc 2.7943 2.7943 2.7943
Tc 4.6500 4.6500 2.7943
Tc 4.6500 2.7943 4.6500
Tc 2.7943 4.6500 4.6500
```

Values from the calculation:
Its volume is 103 Å³ per cell. Its space group is F-43m (216). The energy relative to the elements is 0.144 eV per atom.

---

Record 6
The following is a GGA-PBE calculation of crystalline Pm4SmHo8 at its relaxed geometry, from the Alexandria database.

```
13
Lattice="3.6917 2.1314 8.9708 -3.6917 2.1314 8.9708 0.0000 -4.2628 8.9708" Properties=species:S:1:pos:R:3 pbc="T T T"
Pm 0.0000 0.0000 0.0000
Pm -1.8458 -1.0657 8.9708
Pm -1.8458 1.0657 17.9416
Pm 0.0000 2.1314 8.9708
Sm 0.0000 0.0000 13.4562
Ho -2.0708 -1.1956 15.1389
Ho 0.0000 0.0000 5.8764
Ho 0.0000 -2.3911 11.7735
Ho -2.0708 1.1956 11.7735
Ho 2.0708 -1.1956 15.1389
Ho 0.0000 2.3911 15.1389
Ho 0.0000 0.0000 21.0360
Ho 2.0708 1.1956 11.7735
```

Values from the calculation:
Its volume is 424 Å³ per cell. Its space group is R-3m (166). The energy relative to the elements is 0.199 eV per atom.

---

Record 7
The following is a GGA-PBE calculation of crystalline Cd3In2Au8 at its relaxed geometry, from the Alexandria database.

```
13
Lattice="3.6667 2.1169 7.7353 -3.6667 2.1169 7.7353 0.0000 -4.2339 7.7353" Properties=species:S:1:pos:R:3 pbc="T T T"
Cd 0.0000 0.0000 0.0000
Cd 0.0000 0.0000 4.8043
Cd 0.0000 0.0000 18.4015
In 0.0000 0.0000 10.0927
In 0.0000 0.0000 13.1131
Au -2.2772 -1.3147 13.0508
Au 0.0000 -2.6295 10.1550
Au -2.2772 1.3147 10.1550
Au 0.0000 0.0000 7.4298
Au 0.0000 0.0000 15.7760
Au 2.2772 -1.3147 13.0508
Au 0.0000 2.6295 13.0508
Au 2.2772 1.3147 10.1550
```

Values from the calculation:
Its volume is 360 Å³ per cell. Its space group is R-3m (166). The energy relative to the elements is 0.248 eV per atom.

---

Record 8
The following is a GGA-PBE calculation of crystalline KTlAg at its relaxed geometry, from the Alexandria database.

```
3
Lattice="-1.9576 1.9576 6.1374 1.9576 -1.9576 6.1374 1.9576 1.9576 -6.1374" Properties=species:S:1:pos:R:3 pbc="T T T"
K 0.0000 0.0000 0.0000
Tl 0.0000 0.0000 8.6656
Ag 0.0000 0.0000 3.6932
```

Values from the calculation:
Its volume is 94 Å³ per cell. Its space group is I4mm (107). The energy relative to the elements is 0.005 eV per atom.

---

Q: Number 8 is which compound?
A: KTlAg

---

Q: What is the formula in the fifth record?
A: CaTaTc4